# PBE-GGA LiTa2Ag, relaxed
# Calculated formation energy ... 0.93 eV per formula unit
# V ... 213 Å³ per cell
# Fermi-level density of states ... 9.3 states/eV/cell
# Energy above the lowest structure with this stoichiometry ... 0.086 eV/atom
data_LiTa2Ag
_chemical_formula_sum 'Li3 Ta6 Ag3'
_cell_length_a 2.8479
_cell_length_b 2.8479
_cell_length_c 30.3487
_cell_angle_alpha 90.00
_cell_angle_beta 90.00
_cell_angle_gamma 120.00
_symmetry_space_group_name_H-M 'R 3 m'
_symmetry_Int_Tables_number 160
_symmetry_space_group_name_Hall 'R 3 -2"'
loop_
_atom_site_label
_atom_site_type_symbol
_atom_site_fract_x
_atom_site_fract_y
_atom_site_fract_z
Li1 Li 0.0000 0.0000 0.0000
Ta1 Ta 0.0000 0.0000 0.5058
Ta2 Ta 0.0000 0.0000 0.7525
Ag1 Ag 0.0000 0.0000 0.2564

# PBE-GGA NdHo2InN, relaxed
# V ... 116 Å³ per cell
# Fermi-level density of states ... 2.4 states/eV/cell
# Formation energy without anion corrections ... -0.95 eV/atom
data_NdHo2InN
_chemical_formula_sum 'Nd1 Ho2 In1 N1'
_cell_length_a 4.809
_cell_length_b 4.809
_cell_length_c 5.022
_cell_angle_alpha 90.00
_cell_angle_beta 90.00
_cell_angle_gamma 90.00
_symmetry_space_group_name_H-M 'P 4/m m m'
_symmetry_Int_Tables_number 123
_symmetry_space_group_name_Hall '-P 4 2'
loop_
_atom_site_label
_atom_site_type_symbol
_atom_site_fract_x
_atom_site_fract_y
_atom_site_fract_z
Nd1 Nd 0.000 0.000 0.000
Ho1 Ho 0.000 0.500 0.500
In1 In 0.500 0.500 0.000
N1 N 0.000 0.000 0.500

# PBE-GGA LiThSi2Pd2, relaxed
# V ... 104 Å³ per cell
# Fermi-level density of states ... 4.0 states/eV/cell
# Formation energy without anion corrections ... -0.79 eV/atom
data_LiThSi2Pd2
_chemical_formula_sum 'Li1 Th1 Si2 Pd2'
_cell_length_a 4.1938
_cell_length_b 4.1938
_cell_length_c 6.8540
_cell_angle_alpha 90.00
_cell_angle_beta 90.00
_cell_angle_gamma 120.00
_symmetry_space_group_name_H-M 'P -3 m 1'
_symmetry_Int_Tables_number 164
_symmetry_space_group_name_Hall '-P 3 2"'
loop_
_atom_site_label
_atom_site_type_symbol
_atom_site_fract_x
_atom_site_fract_y
_atom_site_fract_z
Li1 Li 0.0000 0.0000 0.0000
Th1 Th 0.0000 0.0000 0.5000
Si1 Si 0.3333 0.6667 0.7769
Pd1 Pd 0.3333 0.6667 0.1421

# PBE-GGA LaAlPbSe2, relaxed
# V ... 135 Å³ per cell
# Fermi-level density of states ... 4.0 states/eV/cell
# Formation energy without anion corrections ... -0.48 eV/atom
data_LaAlPbSe2
_chemical_formula_sum 'La1 Al1 Pb1 Se2'
_cell_length_a 5.089
_cell_length_b 5.089
_cell_length_c 5.228
_cell_angle_alpha 90.00
_cell_angle_beta 90.00
_cell_angle_gamma 90.00
_symmetry_space_group_name_H-M 'P 4/m m m'
_symmetry_Int_Tables_number 123
_symmetry_space_group_name_Hall '-P 4 2'
loop_
_atom_site_label
_atom_site_type_symbol
_atom_site_fract_x
_atom_site_fract_y
_atom_site_fract_z
La1 La 0.000 0.000 0.000
Al1 Al 0.500 0.500 0.500
Pb1 Pb 0.500 0.500 0.000
Se1 Se 0.000 0.500 0.500

# PBE-GGA Sm3Sn2Hg, relaxed
# Calculated formation energy ... -3.70 eV per formula unit
# V ... 702 Å³ per cell
# Fermi-level density of states ... 19.8 states/eV/cell
# Energy above the lowest structure with this stoichiometry ... 0.000 eV/atom
data_Sm3Sn2Hg
_chemical_formula_sum 'Sm12 Sn8 Hg4'
_cell_length_a 12.547
_cell_length_b 4.698
_cell_length_c 11.904
_cell_angle_alpha 90.00
_cell_angle_beta 90.00
_cell_angle_gamma 90.00
_symmetry_space_group_name_H-M 'P n m a'
_symmetry_Int_Tables_number 62
loop_
_symmetry_equiv_pos_as_xyz
'x,y,z'
'-x,-y,-z'
'-x+1/2,-y,z+1/2'
'x+1/2,y,-z+1/2'
'x+1/2,-y+1/2,-z+1/2'
'-x+1/2,y+1/2,z+1/2'
'-x,y+1/2,-z'
'x,-y+1/2,z'
loop_
_atom_site_label
_atom_site_type_symbol
_atom_site_fract_x
_atom_site_fract_y
_atom_site_fract_z
Sm1 Sm 0.041 0.250 0.123
Sm2 Sm 0.134 0.750 0.570
Sm3 Sm 0.205 0.250 0.813
Sn1 Sn 0.009 0.750 0.321
Sn2 Sn 0.184 0.750 0.026
Hg1 Hg 0.147 0.250 0.354

# PBE-GGA UN2, relaxed
# V ... 147 Å³ per cell
# Formation energy without anion corrections ... -1.36 eV/atom
data_UN2
_chemical_formula_sum 'U4 N8'
_cell_length_a 5.278
_cell_length_b 5.278
_cell_length_c 5.278
_cell_angle_alpha 90.00
_cell_angle_beta 90.00
_cell_angle_gamma 90.00
_symmetry_space_group_name_H-M 'F m -3 m'
_symmetry_Int_Tables_number 225
_symmetry_space_group_name_Hall '-F 4 2 3'
loop_
_atom_site_label
_atom_site_type_symbol
_atom_site_fract_x
_atom_site_fract_y
_atom_site_fract_z
U1 U 0.000 0.000 0.000
N1 N 0.250 0.250 0.250

# PBE-GGA PrSm2Cu2Sn2, relaxed
# Calculated formation energy ... -2.91 eV per formula unit
# V ... 527 Å³ per cell
# Fermi-level density of states ... 10.0 states/eV/cell
data_PrSm2Cu2Sn2
_chemical_formula_sum 'Pr3 Sm6 Cu6 Sn6'
_cell_length_a 4.6265
_cell_length_b 4.6265
_cell_length_c 28.4539
_cell_angle_alpha 90.00
_cell_angle_beta 90.00
_cell_angle_gamma 120.00
_symmetry_space_group_name_H-M 'R -3 m'
_symmetry_Int_Tables_number 166
_symmetry_space_group_name_Hall '-R 3 2"'
loop_
_atom_site_label
_atom_site_type_symbol
_atom_site_fract_x
_atom_site_fract_y
_atom_site_fract_z
Pr1 Pr 0.0000 0.0000 0.0000
Sm1 Sm 0.0000 0.0000 0.1301
Cu1 Cu 0.0000 0.0000 0.4132
Sn1 Sn 0.0000 0.0000 0.2630